The following is a PBE-GGA calculation of LiCaMoN3 after structural relaxation, from Alexandria.

- formation energy (no corrections) (meV per atom) = -699

Cell lengths 5.4249, 5.4318, 5.8334 Å; angles 62.25, 83.61, 76.17 degrees
Closest atoms and distances in Å follow each position.
Sites, in units of the cell vectors:
Li  0.2500  0.5674  0.8652  5 N 2.07-2.18
Li  0.7500  0.4326  0.1348  5 N 2.07-2.18
Ca  0.2500  0.2637  0.4725  8 N 2.60-2.73
Ca  0.7500  0.7363  0.5275  8 N 2.60-2.73
Mo  0.7500  0.0540  0.8920  3 N 1.84-1.93
Mo  0.2500  0.9460  0.1080  3 N 1.84-1.93
N  0.4945  0.8139  0.9010  2 Mo 1.93-2.10, 1 Li 2.12
N  0.0055  0.2851  0.9010  2 Mo 1.93-2.10, 1 Li 2.12
N  0.7500  0.2321  0.5358  1 Mo 1.84
N  0.5055  0.1861  0.0990  2 Mo 1.93-2.10, 1 Li 2.12
N  0.9945  0.7149  0.0990  2 Mo 1.93-2.10, 1 Li 2.12
N  0.2500  0.7679  0.4642  1 Mo 1.84